Entry from Alexandria: an optimized crystal structure of Ce3HgSe6 (PBE-GGA).

Calculated values
energy above the lowest structure with this stoichiometry = 2.74 eV per formula unit
E_form (uncorrected) = -1170 meV per atom

Unit cell a=9.607 b=9.607 c=7.743 alpha=90.00 beta=90.00 gamma=82.56
Fractional coordinates of all 20 atoms:
Ce  0.069  0.931  0.500
Ce  0.144  0.561  0.271
Ce  0.439  0.856  0.271
Ce  0.561  0.144  0.771
Ce  0.856  0.439  0.771
Ce  0.931  0.069  0.000
Hg  0.180  0.820  0.868
Hg  0.820  0.180  0.368
Se  0.023  0.369  0.075
Se  0.037  0.200  0.682
Se  0.200  0.037  0.182
Se  0.307  0.693  0.509
Se  0.366  0.634  0.060
Se  0.369  0.023  0.575
Se  0.631  0.977  0.075
Se  0.634  0.366  0.560
Se  0.693  0.307  0.009
Se  0.800  0.963  0.682
Se  0.963  0.800  0.182
Se  0.977  0.631  0.575

Entry from Alexandria: an optimized crystal structure of Ce2HgSe (PBE-GGA).

Calculated values
energy above the lowest structure with this stoichiometry = 0.09 eV per formula unit
E_form (uncorrected) = -918 meV per atom

Unit cell a=8.494 b=8.494 c=8.494 alpha=27.45 beta=27.45 gamma=27.45
Fractional coordinates of all 4 atoms:
Ce  0.000  0.000  0.000
Ce  0.187  0.187  0.187
Hg  0.761  0.761  0.761
Se  0.593  0.593  0.593

Entry from Alexandria: an optimized crystal structure of CeHgSe2 (PBE-GGA).

Calculated values
energy above the lowest structure with this stoichiometry = 3.73 eV per formula unit
E_form (uncorrected) = -209 meV per atom

Unit cell a=8.918 b=8.918 c=8.918 alpha=27.01 beta=27.01 gamma=27.01
Fractional coordinates of all 4 atoms:
Ce  0.000  0.000  0.000
Hg  0.500  0.500  0.500
Se  0.106  0.106  0.106
Se  0.894  0.894  0.894